Computed, not measured: FeSb2TeP after structural relaxation at the PBE-GGA level of DFT.

Values from the calculation:
Magnetic moment, μB/f.u.: 1.352
Crystal system: tetragonal
Density of states at the Fermi level, states/eV per cell: 3.90
Raw formation energy, eV/atom: 0.638
Space-group type: P4/mmm
Density, g/cm3: 6.4
Energy above the lowest structure with this stoichiometry, meV per atom: 0

POSCAR file:
```
FeSb2TeP
1.0
-3.3192 2.7094 -2.4476
-3.5497 -3.1693 1.3054
-0.8521 2.6291 4.0658
Sb Te P Fe
2 1 1 1
direct
0.0000 0.5000 0.0000
0.5000 0.0000 0.0000
0.0000 0.0000 0.5000
0.5000 0.5000 0.5000
0.0000 0.0000 0.0000
```



Computed, not measured: FeSbTe2P after structural relaxation at the PBE-GGA level of DFT.

Values from the calculation:
Magnetic moment, μB/f.u.: 1.986
Crystal system: tetragonal
Density of states at the Fermi level, states/eV per cell: 4.79
Raw formation energy, eV/atom: 0.684
Space-group type: P4/mmm
Density, g/cm3: 6.3
Energy above the lowest structure with this stoichiometry, meV per atom: 0

POSCAR file:
```
FeSbTe2P
1.0
-1.2945 -4.7556 -0.6446
4.0736 -1.4418 2.4564
-2.5393 0.1115 4.2765
Fe Sb P Te
1 1 1 2
direct
0.0000 0.0000 0.0000
0.0000 0.0000 0.5000
0.5000 0.5000 0.5000
0.0000 0.5000 0.0000
0.5000 0.0000 0.0000
```



Computed, not measured: FeSb2TeP after structural relaxation at the PBE-GGA level of DFT.

Values from the calculation:
Magnetic moment, μB/f.u.: 0.014
Crystal system: tetragonal
Density of states at the Fermi level, states/eV per cell: 6.58
Raw formation energy, eV/atom: 1.267
Space-group type: P4/mmm
Density, g/cm3: 5.7
Energy above the lowest structure with this stoichiometry, meV per atom: 629

POSCAR file:
```
FeSb2TeP
1.0
5.0573 0.0000 0.0000
0.0000 5.0573 0.0000
0.0000 0.0000 5.1970
Sb Te P Fe
2 1 1 1
direct
0.0000 0.5000 0.0000
0.5000 0.0000 0.0000
0.0000 0.0000 0.5000
0.0000 0.0000 0.0000
0.5000 0.5000 0.5000
```



Computed, not measured: FeSbTe2P after structural relaxation at the PBE-GGA level of DFT.

Values from the calculation:
Magnetic moment, μB/f.u.: 3.322
Crystal system: tetragonal
Density of states at the Fermi level, states/eV per cell: 5.21
Raw formation energy, eV/atom: 0.954
Space-group type: P4/mmm
Density, g/cm3: 5.5
Energy above the lowest structure with this stoichiometry, meV per atom: 270

POSCAR file:
```
FeSbTe2P
1.0
-0.6400 -5.0873 -1.3225
-0.0598 -1.3251 5.1264
-4.9620 0.5991 0.0970
Te Sb Fe P
2 1 1 1
direct
0.0000 0.5000 0.0000
0.5000 0.0000 0.0000
0.0000 0.0000 0.5000
0.5000 0.5000 0.5000
0.0000 0.0000 0.0000
```



Computed, not measured: Zn2FeSbP after structural relaxation at the PBE-GGA level of DFT.

Values from the calculation:
Magnetic moment, μB/f.u.: 1.797
Crystal system: tetragonal
Density of states at the Fermi level, states/eV per cell: 3.44
Raw formation energy, eV/atom: 0.663
Space-group type: P4/mmm
Density, g/cm3: 5.5

POSCAR file:
```
Zn2FeSbP
1.0
-2.9013 2.8832 -2.2803
-2.3408 -3.7031 -1.7038
-2.8415 0.0840 3.7214
Zn Sb P Fe
2 1 1 1
direct
0.5000 0.0000 0.0000
0.0000 0.0000 0.5000
0.0000 0.5000 0.0000
0.5000 0.5000 0.5000
0.0000 0.0000 0.0000
```



Computed, not measured: ScFeP after structural relaxation at the PBE-GGA level of DFT.

Values from the calculation:
Magnetic moment, μB/f.u.: 1.998
Crystal system: cubic
Density of states at the Fermi level, states/eV per cell: 1.40
Space-group type: F-43m
Density, g/cm3: 4.5
Energy of formation from the pure elements, eV per formula unit: -1.93

POSCAR file:
```
ScFeP
1.0
-3.0276 -2.7495 0.3758
-3.4445 0.9990 2.0013
-3.5067 0.5103 -2.0760
Fe Sc P
1 1 1
direct
0.5000 0.5000 0.5000
0.0000 0.0000 0.0000
0.2500 0.2500 0.2500
```



Computed, not measured: Sc3FeP after structural relaxation at the PBE-GGA level of DFT.

Values from the calculation:
Magnetic moment, μB/f.u.: 0.002
Crystal system: cubic
Density of states at the Fermi level, states/eV per cell: 5.41
Space-group type: Pm-3m
Density, g/cm3: 3.3
Energy of formation from the pure elements, eV per formula unit: 0.55
Energy above the lowest structure with this stoichiometry, meV per atom: 152

POSCAR file:
```
Sc3FeP
1.0
4.8150 0.0000 0.0000
0.0000 4.8150 0.0000
0.0000 0.0000 4.8150
Sc Fe P
3 1 1
direct
0.0000 0.0000 0.5000
0.5000 0.0000 0.0000
0.0000 0.5000 0.0000
0.5000 0.5000 0.5000
0.0000 0.0000 0.0000
```



Computed, not measured: ScFeP2 after structural relaxation at the PBE-GGA level of DFT.

Values from the calculation:
Magnetic moment, μB/f.u.: 2.429
Crystal system: tetragonal
Density of states at the Fermi level, states/eV per cell: 3.54
Space-group type: I-4m2
Density, g/cm3: 4.6
Energy of formation from the pure elements, eV per formula unit: -1.53
Energy above the lowest structure with this stoichiometry, meV per atom: 399

POSCAR file:
```
ScFeP2
1.0
5.1585 0.0954 0.0000
2.5418 4.4898 0.0000
-3.8502 -2.2926 2.5572
Sc P Fe
1 2 1
direct
0.5000 0.5000 0.0000
0.0000 0.0000 0.0000
0.2500 0.7500 0.5000
0.7500 0.2500 0.5000
```